VASP calculation (GGA+U) on AlCo2GeF after structural relaxation.

Total magnetization (μB per formula unit): 3.9
Mass density (g/cm3): 5.0
E (eV for the cell shown): -19.532

Lattice parameters (Å, degrees): 4.053 4.053 4.764 90.00 90.00 90.00
Space group P4/mmm (No. 123)
Asymmetric unit:
Al 0.000 0.000 0.000 (multiplicity 1)
Co 0.000 0.500 0.500 (multiplicity 2)
Ge 0.500 0.500 0.000 (multiplicity 1)
F 0.500 0.500 0.500 (multiplicity 1)